Entry 1:
{"formula": "CsNaMg2Tl", "functional": "PBE-GGA", "state": "optimized geometry", "lattice": [[5.762, 0.000, 0.000], [0.000, 5.762, 0.000], [0.000, 0.000, 6.167]], "species": ["Cs", "Na", "Mg", "Mg", "Tl"], "frac_coords": [[0.000, 0.000, 0.000], [0.500, 0.500, 0.000], [0.000, 0.500, 0.500], [0.500, 0.000, 0.500], [0.500, 0.500, 0.500]], "space_group": "P4/mmm", "dos_at_fermi_per_ev_cell": 1.68, "final_energy_ha_per_atom": -0.05305, "total_magnetization_mub_per_fu": 0.0}



Entry 2:
{"formula": "CsNa2MgZn", "functional": "PBE-GGA", "state": "optimized geometry", "lattice": [[6.063, 0.000, 0.000], [0.000, 6.063, 0.000], [0.000, 0.000, 5.318]], "species": ["Cs", "Na", "Na", "Mg", "Zn"], "frac_coords": [[0.000, 0.000, 0.000], [0.000, 0.500, 0.500], [0.500, 0.000, 0.500], [0.500, 0.500, 0.000], [0.500, 0.500, 0.500]], "space_group": "P4/mmm", "dos_at_fermi_per_ev_cell": 2.25, "final_energy_ha_per_atom": -0.04231, "total_magnetization_mub_per_fu": 0.0}



Entry 3:
{"formula": "CsMg6Nb", "functional": "PBE-GGA", "state": "optimized geometry", "lattice": [[6.669, 0.000, 0.000], [-3.334, 5.775, 0.000], [0.000, 0.000, 5.228]], "species": ["Cs", "Mg", "Mg", "Mg", "Mg", "Mg", "Mg", "Nb"], "frac_coords": [[0.000, 0.000, 0.000], [0.031, 0.515, 0.000], [0.356, 0.178, 0.500], [0.485, 0.515, 0.000], [0.485, 0.969, 0.000], [0.822, 0.178, 0.500], [0.822, 0.644, 0.500], [0.333, 0.667, 0.500]], "space_group": "P-6m2", "dos_at_fermi_per_ev_cell": 6.35, "final_energy_ha_per_atom": -0.07833, "total_magnetization_mub_per_fu": 0.7}